No. 1
An optimized crystal structure of PrNd8Sb6, computed with PBE.

Structure (extended XYZ):
```
15
Lattice="4.1480 2.3949 8.5431 -4.1480 2.3949 8.5431 0.0000 -4.7897 8.5431" Properties=species:S:1:pos:R:3 pbc="T T T"
Pr 0.0000 0.0000 0.0000
Nd -1.3750 -2.4031 11.6611
Nd -2.7687 -0.0108 13.9683
Nd 0.0000 0.0000 8.5427
Nd -1.3937 2.3924 11.6611
Nd 1.3937 -2.3924 13.9683
Nd 0.0000 0.0000 17.0867
Nd 2.7687 0.0108 11.6611
Nd 1.3750 2.4031 13.9683
Sb -2.7600 -0.0121 10.2837
Sb -1.3695 -2.3963 15.3457
Sb 1.3905 -2.3842 10.2837
Sb -1.3905 2.3842 15.3457
Sb 1.3695 2.3963 10.2837
Sb 2.7600 0.0121 15.3457
```

Calculated values
total magnetic moment	0.001	Bohr magnetons per cell
calculated volume	509.20	Å³/cell
energy relative to the elements, uncorrected	-831	meV per atom

No. 2
An optimized crystal structure of PrNd5Sb4, computed with PBE.

Structure (extended XYZ):
```
10
Lattice="9.6713 -2.2253 0.0000 9.6713 2.2253 0.0000 -2.3487 0.0000 8.4728" Properties=species:S:1:pos:R:3 pbc="T T T"
Pr 0.0000 0.0000 0.0000
Nd -1.1744 0.0000 4.2364
Nd 4.7679 0.0000 5.5406
Nd 6.1287 0.0000 1.4210
Nd 10.8651 0.0000 7.0519
Nd 12.2259 0.0000 2.9322
Sb 3.0827 0.0000 0.7753
Sb 7.7962 0.0000 6.2878
Sb 9.1976 0.0000 2.1850
Sb 13.9111 0.0000 7.6975
```

Calculated values
total magnetic moment	0.000	Bohr magnetons per cell
calculated volume	364.69	Å³/cell
energy relative to the elements, uncorrected	-795	meV per atom

No. 3
An optimized crystal structure of PrNd3Sb2, computed with PBE.

Structure (extended XYZ):
```
6
Lattice="4.6072 0.0000 0.0000 0.0000 4.6072 0.0000 0.0000 0.0000 8.9057" Properties=species:S:1:pos:R:3 pbc="T T T"
Pr 0.0000 0.0000 0.0000
Nd 0.0000 2.3036 3.1759
Nd 2.3036 0.0000 5.7298
Nd 2.3036 2.3036 0.0000
Sb 0.0000 2.3036 6.4109
Sb 2.3036 0.0000 2.4948
```

Calculated values
E above lowest polymorph	0.000	eV/atom
total magnetic moment	0.000	Bohr magnetons per cell
calculated volume	189.03	Å³/cell
energy relative to the elements, uncorrected	-820	meV per atom

No. 4
An optimized crystal structure of Pr5NdSb6, computed with PBE.

Structure (extended XYZ):
```
12
Lattice="3.9428 -6.8289 0.0000 3.9428 6.8289 0.0000 -2.6316 0.0000 7.4345" Properties=species:S:1:pos:R:3 pbc="T T T"
Pr 0.0000 0.0000 0.0000
Pr 2.6270 4.5537 3.7172
Pr 3.9428 2.2809 0.0000
Pr 3.9428 -2.2809 0.0000
Pr 2.6270 -4.5537 3.7172
Nd 2.6270 0.0000 3.7172
Sb 1.3178 2.2691 1.8643
Sb 0.0062 0.0000 5.5720
Sb 1.3178 -2.2691 1.8643
Sb 3.9362 2.2691 5.5702
Sb 5.2478 0.0000 1.8625
Sb 3.9362 -2.2691 5.5702
```

Calculated values
total magnetic moment	0.000	Bohr magnetons per cell
calculated volume	400.35	Å³/cell
energy relative to the elements, uncorrected	-1192	meV per atom

No. 5
An optimized crystal structure of Pr3Nd2Sb2, computed with PBE.

Structure (extended XYZ):
```
14
Lattice="17.1752 0.0000 0.0000 0.0000 4.0770 0.0000 -3.2436 0.0000 6.8096" Properties=species:S:1:pos:R:3 pbc="T T T"
Pr 0.0000 0.0000 0.0000
Pr 2.8464 0.0000 1.7839
Pr 2.4975 2.0385 5.0257
Pr 8.5876 2.0385 0.0000
Pr 11.4340 2.0385 1.7839
Pr 11.0851 0.0000 5.0257
Nd -0.5212 0.0000 4.7915
Nd 5.8652 2.0385 2.0180
Nd 8.0664 2.0385 4.7915
Nd 14.4528 0.0000 2.0180
Sb 0.3104 2.0385 2.4981
Sb 5.0336 0.0000 4.3114
Sb 8.8980 0.0000 2.4981
Sb 13.6212 2.0385 4.3114
```

Calculated values
total magnetic moment	1.720	Bohr magnetons per cell
calculated volume	476.83	Å³/cell
energy relative to the elements, uncorrected	-467	meV per atom

No. 6
An optimized crystal structure of PrNd4Sb2, computed with PBE.

Structure (extended XYZ):
```
14
Lattice="5.4331 0.0000 0.0000 0.0000 5.4331 0.0000 0.0000 0.0000 16.9451" Properties=species:S:1:pos:R:3 pbc="T T T"
Pr 0.0000 0.0000 0.0000
Pr 2.7166 2.7166 8.4726
Nd 0.0000 0.0000 3.1102
Nd 0.0000 0.0000 13.8350
Nd 0.0000 2.7166 0.0000
Nd 0.0000 2.7166 8.4726
Nd 2.7166 0.0000 0.0000
Nd 2.7166 0.0000 8.4726
Nd 2.7166 2.7166 5.3624
Nd 2.7166 2.7166 11.5827
Sb 0.0000 0.0000 6.2210
Sb 0.0000 0.0000 10.7241
Sb 2.7166 2.7166 2.2516
Sb 2.7166 2.7166 14.6936
```

Calculated values
total magnetic moment	0.004	Bohr magnetons per cell
calculated volume	500.20	Å³/cell
energy relative to the elements, uncorrected	124	meV per atom

No. 7
An optimized crystal structure of PrNdSb2, computed with PBE.

Structure (extended XYZ):
```
12
Lattice="4.5477 0.0000 0.0000 -2.2738 3.9384 0.0000 0.0000 0.0000 22.1858" Properties=species:S:1:pos:R:3 pbc="T T T"
Pr 0.0000 0.0000 0.0000
Pr 0.0000 2.6256 14.7906
Pr 2.2738 1.3128 7.3953
Nd 0.0000 0.0000 11.0929
Nd 0.0000 2.6256 3.6976
Nd 2.2738 1.3128 18.4882
Sb 0.0000 0.0000 5.5310
Sb 0.0000 0.0000 16.6548
Sb 0.0000 2.6256 9.2595
Sb 0.0000 2.6256 20.3216
Sb 2.2738 1.3128 1.8643
Sb 2.2738 1.3128 12.9263
```

Calculated values
E above lowest polymorph	0.003	eV/atom
total magnetic moment	0.000	Bohr magnetons per cell
calculated volume	397.36	Å³/cell
energy relative to the elements, uncorrected	-1189	meV per atom

No. 8
An optimized crystal structure of PrNd2Sb2, computed with PBE.

Structure (extended XYZ):
```
10
Lattice="6.5023 0.0000 0.0000 0.0000 6.5602 0.0000 -3.2450 0.0000 7.4083" Properties=species:S:1:pos:R:3 pbc="T T T"
Pr 0.0000 0.0000 0.0000
Pr 3.2512 3.2801 0.0000
Nd -1.6225 1.6476 3.7042
Nd -1.6225 4.9125 3.7042
Nd 1.6287 1.6324 3.7042
Nd 1.6287 4.9277 3.7042
Sb 0.0118 3.2801 1.4865
Sb -0.0056 0.0000 5.9218
Sb 3.2629 0.0000 1.4865
Sb 3.2455 3.2801 5.9218
```

Calculated values
total magnetic moment	0.000	Bohr magnetons per cell
calculated volume	316.01	Å³/cell
energy relative to the elements, uncorrected	-693	meV per atom

No. 9
An optimized crystal structure of Pr2NdSb, computed with PBE.

Structure (extended XYZ):
```
4
Lattice="4.2170 0.0000 0.0000 0.0000 4.2170 0.0000 0.0000 0.0000 7.2180" Properties=species:S:1:pos:R:3 pbc="T T T"
Pr 0.0000 0.0000 1.5752
Pr 0.0000 0.0000 5.6428
Nd 2.1085 2.1085 3.6090
Sb 2.1085 2.1085 0.0000
```

Calculated values
E above lowest polymorph	0.072	eV/atom
total magnetic moment	0.214	Bohr magnetons per cell
calculated volume	128.36	Å³/cell
energy relative to the elements, uncorrected	-494	meV per atom

No. 10
An optimized crystal structure of PrNdSb4, computed with PBE.

Structure (extended XYZ):
```
12
Lattice="3.0907 -3.1691 0.0000 3.0907 3.1691 0.0000 -0.0036 0.0000 18.3602" Properties=species:S:1:pos:R:3 pbc="T T T"
Pr 0.8470 0.0000 2.0472
Pr 5.3308 0.0000 16.3130
Nd 2.2318 0.0000 11.2044
Nd 3.9460 0.0000 7.1558
Sb 2.3070 1.5837 4.6129
Sb 0.8327 0.0000 8.0148
Sb 2.2606 0.0000 17.1933
Sb 3.8708 1.5837 13.7473
Sb 2.3070 -1.5837 4.6129
Sb 3.9172 0.0000 1.1670
Sb 5.3451 0.0000 10.3454
Sb 3.8708 -1.5837 13.7473
```

Calculated values
total magnetic moment	0.000	Bohr magnetons per cell
calculated volume	359.67	Å³/cell
energy relative to the elements, uncorrected	-803	meV per atom

No. 11
An optimized crystal structure of PrNdSb2, computed with PBE.

Structure (extended XYZ):
```
12
Lattice="4.5004 0.0000 0.0000 -2.2502 3.8974 0.0000 0.0000 0.0000 23.1761" Properties=species:S:1:pos:R:3 pbc="T T T"
Pr 0.0000 0.0000 0.0000
Pr 0.0000 2.5983 15.4508
Pr 2.2502 1.2991 7.7254
Nd 0.0000 0.0000 19.2065
Nd 0.0000 2.5983 11.4811
Nd 2.2502 1.2991 3.7557
Sb 0.0000 0.0000 9.5913
Sb 0.0000 0.0000 13.4747
Sb 0.0000 2.5983 1.8659
Sb 0.0000 2.5983 5.7494
Sb 2.2502 1.2991 17.3167
Sb 2.2502 1.2991 21.2001
```

Calculated values
E above lowest polymorph	0.123	eV/atom
total magnetic moment	0.000	Bohr magnetons per cell
calculated volume	406.51	Å³/cell
energy relative to the elements, uncorrected	-1069	meV per atom

No. 12
An optimized crystal structure of Pr2NdSb, computed with PBE.

Structure (extended XYZ):
```
16
Lattice="4.6857 0.0000 0.0000 0.0000 23.8928 0.0000 0.0000 0.0000 4.6769" Properties=species:S:1:pos:R:3 pbc="T T T"
Pr 0.0000 1.4501 1.1692
Pr 0.0000 10.2992 1.1692
Pr 0.0000 13.5936 3.5077
Pr 0.0000 22.4427 3.5077
Pr 2.3428 1.6472 3.5077
Pr 2.3428 10.4963 3.5077
Pr 2.3428 13.3965 1.1692
Pr 2.3428 22.2456 1.1692
Nd 0.0000 7.2619 3.5077
Nd 0.0000 16.6310 1.1692
Nd 2.3428 4.6845 1.1692
Nd 2.3428 19.2083 3.5077
Sb 0.0000 4.0600 3.5077
Sb 0.0000 19.8328 1.1692
Sb 2.3428 7.8864 1.1692
Sb 2.3428 16.0065 3.5077
```

Calculated values
E above lowest polymorph	0.000	eV/atom
total magnetic moment	0.000	Bohr magnetons per cell
calculated volume	523.60	Å³/cell
energy relative to the elements, uncorrected	-566	meV per atom